[1]
First-principles (PBE) data for a relaxed structure of K2ScPb, as listed in the Alexandria database.

abc: 5.542 7.348 3.811
angles: 76.82 85.23 110.83
Each line ends with the local moment (μB).
Sites, in units of the cell vectors:
1 K 0.000 0.000 0.000  0.03
2 K 0.500 0.000 0.500  0.03
3 Pb 0.000 0.500 0.500  -0.02
4 Sc 0.500 0.500 0.000  0.54

Output
density of states at the Fermi level = 2.74 states/eV per cell
size of the total moment = 1.20 μB per formula unit
volume = 139 Å³/cell
ΔE_f = 268 meV per atom
space group = No. 12

***

[2]
First-principles (PBE) data for a relaxed structure of K2ScPb, as listed in the Alexandria database.

abc: 3.433 3.433 12.580
angles: 90.00 90.00 90.00
Each line ends with the local moment (μB).
Sites, in units of the cell vectors:
1 K 0.000 0.000 0.021  0.01
2 K 0.000 0.000 0.479  0.01
3 Pb 0.500 0.500 0.250  0.01
4 Sc 0.500 0.500 0.750  0.52

Output
density of states at the Fermi level = 5.83 states/eV per cell
size of the total moment = 0.99 μB per formula unit
volume = 148 Å³/cell
ΔE_f = 374 meV per atom
space group = No. 123

***

[3]
First-principles (PBE) data for a relaxed structure of KScPb, as listed in the Alexandria database.

abc: 4.761 13.415 3.602
angles: 90.10 90.00 80.05
Each line ends with the local moment (μB).
Sites, in units of the cell vectors:
1 Sc 0.814 0.820 0.996  0.13
2 Sc 0.398 0.649 0.996  0.11
3 Pb 0.296 0.859 0.496  -0.01
4 Pb 0.923 0.598 0.496  -0.01
5 K 0.529 0.379 0.496  0.00
6 K 0.166 0.096 0.998  0.00

Output
density of states at the Fermi level = 4.95 states/eV per cell
energy above the most stable polymorph in this dataset = 95 meV per atom
size of the total moment = 0.17 μB per formula unit
volume = 227 Å³/cell
ΔE_f = -157 meV per atom
space group = No. 1

***

[4]
First-principles (PBE) data for a relaxed structure of KScPb, as listed in the Alexandria database.

abc: 7.246 5.118 10.173
angles: 90.00 90.00 90.00
Sites, in units of the cell vectors:
1 Pb 0.347 0.250 0.370
2 Pb 0.153 0.750 0.870
3 Pb 0.653 0.750 0.630
4 Pb 0.847 0.250 0.130
5 Sc 0.938 0.250 0.831
6 Sc 0.562 0.750 0.331
7 Sc 0.062 0.750 0.169
8 Sc 0.438 0.250 0.669
9 K 0.865 0.250 0.456
10 K 0.635 0.750 0.956
11 K 0.135 0.750 0.544
12 K 0.365 0.250 0.044

Output
density of states at the Fermi level = 0.18 states/eV per cell
energy above the most stable polymorph in this dataset = 306 meV per atom
size of the total moment = 0.00 μB per formula unit
volume = 377 Å³/cell
ΔE_f = 54 meV per atom
space group = No. 62

***

[5]
First-principles (PBE) data for a relaxed structure of K2ScPb, as listed in the Alexandria database.

abc: 3.482 3.482 13.038
angles: 90.00 90.00 111.86
Each line ends with the local moment (μB).
Sites, in units of the cell vectors:
1 K 0.000 0.000 0.012  0.01
2 K 0.000 0.000 0.488  0.01
3 Pb 0.500 0.500 0.250  0.00
4 Sc 0.500 0.500 0.750  0.52

Output
density of states at the Fermi level = 5.15 states/eV per cell
size of the total moment = 1.04 μB per formula unit
volume = 147 Å³/cell
ΔE_f = 365 meV per atom
space group = No. 65

***

[6]
First-principles (PBE) data for a relaxed structure of KScPb, as listed in the Alexandria database.

abc: 5.177 5.177 8.058
angles: 90.00 90.00 90.00
Sites, in units of the cell vectors:
1 Pb 0.000 0.500 0.682
2 Pb 0.500 0.000 0.318
3 Sc 0.000 0.000 0.500
4 Sc 0.500 0.500 0.500
5 K 0.000 0.500 0.139
6 K 0.500 0.000 0.861

Output
density of states at the Fermi level = 0.00 states/eV per cell
energy above the most stable polymorph in this dataset = 0 meV per atom
size of the total moment = 0.00 μB per formula unit
volume = 216 Å³/cell
ΔE_f = -252 meV per atom
space group = No. 129

***

[7]
First-principles (PBE) data for a relaxed structure of K2ScSnPb, as listed in the Alexandria database.

abc: 6.326 5.832 6.326
angles: 90.00 90.00 90.00
Each line ends with the local moment (μB).
Sites, in units of the cell vectors:
1 Pb 0.000 0.000 0.000  -0.06
2 Sc 0.500 0.500 0.500  0.76
3 K 0.000 0.000 0.500  0.00
4 K 0.500 0.000 0.000  0.00
5 Sn 0.000 0.500 0.000  0.01

Output
density of states at the Fermi level = 12.93 states/eV per cell
size of the total moment = 1.11 μB per formula unit
volume = 233 Å³/cell
ΔE_f = 699 meV per atom
space group = No. 123

***

[8]
First-principles (PBE) data for a relaxed structure of KSr2ScPb, as listed in the Alexandria database.

abc: 6.263 5.619 6.263
angles: 90.00 90.00 90.00
Each line ends with the local moment (μB).
Sites, in units of the cell vectors:
1 Pb 0.500 0.500 0.500  -0.07
2 Sr 0.000 0.000 0.500  0.06
3 Sr 0.500 0.000 0.000  0.05
4 K 0.000 0.000 0.000  0.11
5 Sc 0.000 0.500 0.000  0.90

Output
density of states at the Fermi level = 5.82 states/eV per cell
size of the total moment = 1.98 μB per formula unit
volume = 220 Å³/cell
ΔE_f = 947 meV per atom
space group = No. 123

***

[9]
First-principles (PBE) data for a relaxed structure of KScTa2Pb, as listed in the Alexandria database.

abc: 4.998 5.534 4.998
angles: 90.00 90.00 90.00
Sites, in units of the cell vectors:
1 Pb 0.500 0.500 0.500
2 Sc 0.000 0.000 0.000
3 K 0.000 0.500 0.000
4 Ta 0.000 0.000 0.500
5 Ta 0.500 0.000 0.000

Output
density of states at the Fermi level = 7.09 states/eV per cell
size of the total moment = 0.00 μB per formula unit
volume = 138 Å³/cell
ΔE_f = 1736 meV per atom
space group = No. 123

***

[10]
First-principles (PBE) data for a relaxed structure of K6PbSe4, as listed in the Alexandria database.

abc: 8.137 10.775 10.775
angles: 120.00 90.00 90.00
Sites, in units of the cell vectors:
1 K 0.463 0.708 0.854
2 K 0.463 0.146 0.292
3 K 0.463 0.146 0.854
4 K 0.963 0.292 0.146
5 K 0.963 0.854 0.708
6 K 0.963 0.854 0.146
7 K 0.627 0.937 0.469
8 K 0.627 0.531 0.063
9 K 0.627 0.531 0.469
10 K 0.127 0.063 0.531
11 K 0.127 0.469 0.937
12 K 0.127 0.469 0.531
13 Pb 0.750 0.333 0.667
14 Pb 0.250 0.667 0.333
15 Se 0.389 0.333 0.667
16 Se 0.889 0.667 0.333
17 Se 0.862 0.634 0.817
18 Se 0.862 0.183 0.366
19 Se 0.862 0.183 0.817
20 Se 0.362 0.366 0.183
21 Se 0.362 0.817 0.634
22 Se 0.362 0.817 0.183

Output
density of states at the Fermi level = 0.00 states/eV per cell
size of the total moment = 0.00 μB per formula unit
volume = 818 Å³/cell
energy relative to the elements, uncorrected = -1.02 eV per atom
space group = No. 186

***

[11]
First-principles (PBE) data for a relaxed structure of K2PbSe2, as listed in the Alexandria database.

abc: 8.362 8.362 4.611
angles: 90.00 90.00 90.00
Sites, in units of the cell vectors:
1 Pb 0.000 0.000 0.000
2 Pb 0.500 0.500 0.000
3 K 0.133 0.633 0.500
4 K 0.633 0.867 0.500
5 K 0.867 0.367 0.500
6 K 0.367 0.133 0.500
7 Se 0.322 0.822 0.000
8 Se 0.822 0.678 0.000
9 Se 0.678 0.178 0.000
10 Se 0.178 0.322 0.000

Output
density of states at the Fermi level = 6.27 states/eV per cell
energy above the most stable polymorph in this dataset = 170 meV per atom
size of the total moment = 0.00 μB per formula unit
volume = 322 Å³/cell
energy relative to the elements, uncorrected = -0.73 eV per atom
space group = No. 127